Record 1
Entry from Alexandria: a geometry-optimized CsAgSn2I6 structure (PBE).

Lattice parameters (Å, degrees): 8.2617 8.2716 9.0012 90.02 117.29 119.95
Element x y z (fractional)
Cs1 0.0000 0.0000 0.0000
Ag1 0.9488 0.4741 0.4229
Sn1 0.5578 0.2790 0.8359
Sn2 0.5933 0.7968 0.3892
I1 0.1067 0.4825 0.1719
I2 0.1159 0.2286 0.6348
I3 0.4072 0.8883 0.6343
I4 0.5482 0.0658 0.1711
I5 0.6895 0.6234 0.1711
I6 0.7484 0.5200 0.6349

D(E_F)   0.0 states/eV/cell
V   452 Å³ per cell
Crystal system   triclinic
Formation energy without anion corrections   -619 meV per atom


Record 2
Entry from Alexandria: a geometry-optimized LiTbTl2Br6 structure (PBE).

Lattice parameters (Å, degrees): 7.5990 7.8999 13.1964 90.00 124.82 90.00
Element x y z (fractional)
Li1 0.0000 0.0000 0.0000
Li2 0.0000 0.5000 0.5000
Tb1 0.5000 0.0000 0.5000
Tb2 0.5000 0.5000 0.0000
Tl1 0.2274 0.0704 0.7472
Tl2 0.2274 0.4296 0.2472
Tl3 0.7726 0.5704 0.7528
Tl4 0.7726 0.9296 0.2528
Br1 0.1579 0.2028 0.4573
Br2 0.1579 0.2972 0.9573
Br3 0.2573 0.7049 0.4578
Br4 0.2573 0.7951 0.9578
Br5 0.3324 0.0140 0.2468
Br6 0.3324 0.4860 0.7468
Br7 0.6676 0.5140 0.2532
Br8 0.6676 0.9860 0.7532
Br9 0.7427 0.2049 0.0422
Br10 0.7427 0.2951 0.5422
Br11 0.8421 0.7028 0.0427
Br12 0.8421 0.7972 0.5427

D(E_F)   0.0 states/eV/cell
V   650 Å³ per cell
Crystal system   monoclinic
Formation energy without anion corrections   -1407 meV per atom


Record 3
Entry from Alexandria: a geometry-optimized Te2RuS structure (PBE).

Lattice parameters (Å, degrees): 8.0076 8.0076 8.0076 28.99 28.99 28.99
Element x y z (fractional)
Te1 0.1090 0.1090 0.1090
Te2 0.8910 0.8910 0.8910
Ru1 0.5000 0.5000 0.5000
S1 0.0000 0.0000 0.0000

D(E_F)   3.6 states/eV/cell
V   107 Å³ per cell
Crystal system   trigonal
Formation energy without anion corrections   121 meV per atom


Record 4
Entry from Alexandria: a geometry-optimized Sm2MgZnS5 structure (PBE).

Lattice parameters (Å, degrees): 8.4990 8.4990 11.4632 90.00 90.00 153.67
Element x y z (fractional)
Sm1 0.1140 0.8860 0.5000
Sm2 0.1321 0.8679 0.1160
Sm3 0.8679 0.1321 0.6160
Sm4 0.8860 0.1140 0.0000
Mg1 0.2050 0.7950 0.8252
Mg2 0.7950 0.2050 0.3252
Zn1 0.4447 0.5553 0.2721
Zn2 0.5553 0.4447 0.7721
S1 0.0487 0.9513 0.8788
S2 0.2869 0.7131 0.4784
S3 0.3123 0.6877 0.1674
S4 0.3566 0.6434 0.8134
S5 0.4970 0.5030 0.5909
S6 0.5030 0.4970 0.0909
S7 0.6434 0.3566 0.3134
S8 0.6877 0.3123 0.6674
S9 0.7131 0.2869 0.9784
S10 0.9513 0.0487 0.3788

D(E_F)   0.0 states/eV/cell
V   367 Å³ per cell
Crystal system   orthorhombic
Formation energy without anion corrections   -1607 meV per atom


Record 5
Entry from Alexandria: a geometry-optimized Nd2Ga2Cu structure (PBE).

Lattice parameters (Å, degrees): 5.7781 5.7781 10.9366 116.26 116.26 45.75
Element x y z (fractional)
Nd1 0.0820 0.0820 0.3887
Nd2 0.3111 0.3111 0.8335
Nd3 0.6889 0.6889 0.1665
Nd4 0.9180 0.9180 0.6113
Ga1 0.0801 0.0801 0.9381
Ga2 0.3721 0.3721 0.3865
Ga3 0.6279 0.6279 0.6135
Ga4 0.9199 0.9199 0.0619
Cu1 0.3804 0.3804 0.1513
Cu2 0.6196 0.6196 0.8487

D(E_F)   7.4 states/eV/cell
Formation enthalpy at 0 K   -244 kJ/mol of formula units
V   229 Å³ per cell
Crystal system   monoclinic


Record 6
Entry from Alexandria: a geometry-optimized Ce3NpSe6 structure (PBE).

Lattice parameters (Å, degrees): 8.5319 8.5319 8.5319 99.48 99.48 99.48
Element x y z (fractional)
Ce1 0.1265 0.6212 0.7957
Ce2 0.2043 0.8735 0.3788
Ce3 0.3788 0.2043 0.8735
Ce4 0.6212 0.7957 0.1265
Ce5 0.7957 0.1265 0.6212
Ce6 0.8735 0.3788 0.2043
Np1 0.0000 0.0000 0.0000
Np2 0.5000 0.5000 0.5000
Se1 0.0692 0.9256 0.6815
Se2 0.0744 0.3185 0.9308
Se3 0.1756 0.5450 0.4357
Se4 0.3185 0.9308 0.0744
Se5 0.4357 0.1756 0.5450
Se6 0.4550 0.5643 0.8244
Se7 0.5450 0.4357 0.1756
Se8 0.5643 0.8244 0.4550
Se9 0.6815 0.0692 0.9256
Se10 0.8244 0.4550 0.5643
Se11 0.9256 0.6815 0.0692
Se12 0.9308 0.0744 0.3185

D(E_F)   52.4 states/eV/cell
V   592 Å³ per cell
Crystal system   trigonal
Formation energy without anion corrections   -1584 meV per atom


Record 7
Entry from Alexandria: a geometry-optimized KBiS structure (PBE).

Lattice parameters (Å, degrees): 9.4105 9.4105 9.4105 156.30 142.69 44.68
Element x y z (fractional)
K1 0.1760 0.1760 0.0000
K2 0.8240 0.8240 0.0000
Bi1 0.2667 0.5000 0.7667
Bi2 0.7333 0.5000 0.2333
S1 0.3541 0.3541 0.0000
S2 0.6459 0.6459 0.0000

D(E_F)   1.3 states/eV/cell
V   203 Å³ per cell
Crystal system   orthorhombic
Formation energy without anion corrections   -314 meV per atom


Record 8
Entry from Alexandria: a geometry-optimized CsSbPt structure (PBE).

Lattice parameters (Å, degrees): 7.5486 7.5486 7.0937 106.95 106.95 35.84
Element x y z (fractional)
Cs1 0.1119 0.1119 0.3059
Cs2 0.8881 0.8881 0.6941
Sb1 0.3760 0.3760 0.1790
Sb2 0.6240 0.6240 0.8210
Pt1 0.2094 0.2094 0.8830
Pt2 0.7906 0.7906 0.1170

D(E_F)   2.4 states/eV/cell
V   225 Å³ per cell
Crystal system   monoclinic
Formation energy without anion corrections   -482 meV per atom


Record 9
Entry from Alexandria: a geometry-optimized Tb3Ce2DyP6 structure (PBE).

Lattice parameters (Å, degrees): 6.9995 6.9995 6.9956 99.60 99.60 120.00
Element x y z (fractional)
Tb1 0.0000 0.0000 0.0000
Tb2 0.3332 0.6668 0.0000
Tb3 0.6668 0.3332 0.0000
Ce1 0.1666 0.8334 0.5000
Ce2 0.8334 0.1666 0.5000
Dy1 0.5000 0.5000 0.5000
P1 0.0839 0.4168 0.2504
P2 0.2507 0.2507 0.7507
P3 0.4168 0.0839 0.2504
P4 0.5832 0.9161 0.7496
P5 0.7493 0.7493 0.2493
P6 0.9161 0.5832 0.7496

D(E_F)   9.9 states/eV/cell
Formation enthalpy at 0 K   -1831 kJ/mol of formula units
V   280 Å³ per cell
Crystal system   monoclinic


Record 10
Entry from Alexandria: a geometry-optimized PaTl2Se5 structure (PBE).

Lattice parameters (Å, degrees): 6.7763 6.7763 5.5743 90.00 90.00 90.00
Element x y z (fractional)
Pa1 0.0000 0.0000 0.0000
Tl1 0.0000 0.5000 0.5000
Tl2 0.5000 0.0000 0.5000
Se1 0.0000 0.0000 0.5000
Se2 0.2842 0.2842 0.0000
Se3 0.2842 0.7158 0.0000
Se4 0.7158 0.2842 0.0000
Se5 0.7158 0.7158 0.0000

D(E_F)   7.2 states/eV/cell
V   256 Å³ per cell
Crystal system   tetragonal
Formation energy without anion corrections   -517 meV per atom


Record 11
Entry from Alexandria: a geometry-optimized Cs2SrPu3O12 structure (PBE).

Lattice parameters (Å, degrees): 7.7250 7.7250 7.7250 63.22 63.22 63.22
Element x y z (fractional)
Cs1 0.1148 0.1148 0.1148
Cs2 0.8852 0.8852 0.8852
Sr1 0.5000 0.5000 0.5000
Pu1 0.0000 0.5000 0.5000
Pu2 0.5000 0.0000 0.5000
Pu3 0.5000 0.5000 0.0000
O1 0.1133 0.5959 0.5959
O2 0.2065 0.2065 0.5831
O3 0.2065 0.5831 0.2065
O4 0.4041 0.4041 0.8867
O5 0.4041 0.8867 0.4041
O6 0.4169 0.7935 0.7935
O7 0.5831 0.2065 0.2065
O8 0.5959 0.1133 0.5959
O9 0.5959 0.5959 0.1133
O10 0.7935 0.4169 0.7935
O11 0.7935 0.7935 0.4169
O12 0.8867 0.4041 0.4041

D(E_F)   3.8 states/eV/cell
V   349 Å³ per cell
Crystal system   trigonal
Formation energy without anion corrections   -2466 meV per atom


Record 12
Entry from Alexandria: a geometry-optimized AcNdHoEr structure (PBE).

Lattice parameters (Å, degrees): 3.6909 3.6909 12.1324 98.71 98.71 59.95
Element x y z (fractional)
Ac1 0.0000 0.0000 0.0000
Nd1 0.2425 0.2425 0.7299
Ho1 0.4173 0.4173 0.2565
Er1 0.8300 0.8300 0.4901

D(E_F)   5.1 states/eV/cell
Formation enthalpy at 0 K   25 kJ/mol of formula units
V   141 Å³ per cell
Crystal system   monoclinic


Record 13
Entry from Alexandria: a geometry-optimized SrNiCl structure (PBE).

Lattice parameters (Å, degrees): 4.7676 4.7676 4.7676 60.00 60.00 60.00
Element x y z (fractional)
Sr1 0.0000 0.0000 0.0000
Ni1 0.5000 0.5000 0.5000
Cl1 0.7500 0.7500 0.7500

D(E_F)   7.3 states/eV/cell
V   77 Å³ per cell
Crystal system   cubic
Formation energy without anion corrections   -237 meV per atom


Record 14
Entry from Alexandria: a geometry-optimized ZrCSe2 structure (PBE).

Lattice parameters (Å, degrees): 7.4902 7.4902 7.4902 27.61 27.61 27.61
Element x y z (fractional)
Zr1 0.0000 0.0000 0.0000
C1 0.5000 0.5000 0.5000
Se1 0.4175 0.4175 0.4175
Se2 0.5825 0.5825 0.5825

D(E_F)   2.1 states/eV/cell
V   80 Å³ per cell
Crystal system   trigonal
Formation energy without anion corrections   499 meV per atom


Record 15
Entry from Alexandria: a geometry-optimized BaReBr structure (PBE).

Lattice parameters (Å, degrees): 5.2307 5.2307 3.6652 90.00 90.00 120.00
Element x y z (fractional)
Ba1 0.0000 0.0000 0.0000
Re1 0.3333 0.6667 0.5000
Br1 0.6667 0.3333 0.5000

D(E_F)   3.0 states/eV/cell
V   87 Å³ per cell
Crystal system   hexagonal
Formation energy without anion corrections   881 meV per atom


Record 16
Entry from Alexandria: a geometry-optimized K2NpOsO6 structure (PBE).

Lattice parameters (Å, degrees): 6.7123 6.7123 6.7123 128.98 128.98 75.05
Element x y z (fractional)
K1 0.2500 0.7500 0.5000
K2 0.7500 0.2500 0.5000
Np1 0.0000 0.0000 0.0000
Os1 0.5000 0.5000 0.0000
O1 0.1768 0.1768 0.0000
O2 0.2715 0.2715 0.5430
O3 0.2715 0.7285 0.0000
O4 0.7285 0.2715 0.0000
O5 0.7285 0.7285 0.4570
O6 0.8232 0.8232 0.0000

D(E_F)   8.3 states/eV/cell
V   178 Å³ per cell
Crystal system   tetragonal
Formation energy without anion corrections   -1922 meV per atom


Record 17
Entry from Alexandria: a geometry-optimized TcAsAu2 structure (PBE).

Lattice parameters (Å, degrees): 4.5917 4.5917 5.2914 96.89 96.89 40.54
Element x y z (fractional)
Tc1 0.0000 0.0000 0.0000
As1 0.2827 0.2827 0.8966
Au1 0.4726 0.4726 0.5423
Au2 0.7285 0.7285 0.3018

D(E_F)   3.4 states/eV/cell
Formation enthalpy at 0 K   97 kJ/mol of formula units
V   72 Å³ per cell
Crystal system   monoclinic


Record 18
Entry from Alexandria: a geometry-optimized Li4NdGd structure (PBE).

Lattice parameters (Å, degrees): 5.9239 5.9239 5.9239 60.00 60.00 60.00
Element x y z (fractional)
Li1 0.1253 0.1253 0.1253
Li2 0.1253 0.1253 0.6242
Li3 0.1253 0.6242 0.1253
Li4 0.6242 0.1253 0.1253
Nd1 0.7500 0.7500 0.7500
Gd1 0.5000 0.5000 0.5000

D(E_F)   6.4 states/eV/cell
Formation enthalpy at 0 K   61 kJ/mol of formula units
V   147 Å³ per cell
Crystal system   cubic


Record 19
Entry from Alexandria: a geometry-optimized AcCe2PuSb4 structure (PBE).

Lattice parameters (Å, degrees): 7.8978 4.5705 7.9212 90.00 109.52 90.00
Element x y z (fractional)
Ac1 0.0000 0.0000 0.0000
Ce1 0.0000 0.5000 0.5000
Ce2 0.5000 0.0000 0.5000
Pu1 0.5000 0.5000 0.0000
Sb1 0.2583 0.0000 0.7451
Sb2 0.2641 0.5000 0.2631
Sb3 0.7359 0.5000 0.7369
Sb4 0.7417 0.0000 0.2549

D(E_F)   27.2 states/eV/cell
V   269 Å³ per cell
Crystal system   monoclinic
Formation energy without anion corrections   -955 meV per atom


Record 20
Entry from Alexandria: a geometry-optimized TeI2NF structure (PBE).

Lattice parameters (Å, degrees): 4.8977 4.8977 4.7114 90.00 90.00 90.00
Element x y z (fractional)
Te1 0.0000 0.0000 0.0000
I1 0.0000 0.5000 0.5000
I2 0.5000 0.0000 0.5000
N1 0.0000 0.0000 0.5000
F1 0.5000 0.5000 0.0000

D(E_F)   4.8 states/eV/cell
V   113 Å³ per cell
Crystal system   tetragonal
Formation energy without anion corrections   687 meV per atom


Record 21
Entry from Alexandria: a geometry-optimized LiB3C structure (PBE).

Lattice parameters (Å, degrees): 3.7029 5.4556 4.0634 90.00 90.00 90.00
Element x y z (fractional)
Li1 0.0000 0.1156 0.0000
Li2 0.5000 0.8844 0.5000
B1 0.0000 0.6261 0.6291
B2 0.2460 0.3416 0.5015
B3 0.2540 0.6584 0.0015
B4 0.5000 0.3739 0.1291
B5 0.7460 0.6584 0.0015
B6 0.7540 0.3416 0.5015
C1 0.0000 0.7503 0.2743
C2 0.5000 0.2497 0.7743

D(E_F)   0.8 states/eV/cell
Formation enthalpy at 0 K   85 kJ/mol of formula units
V   82 Å³ per cell
Crystal system   orthorhombic


Record 22
Entry from Alexandria: a geometry-optimized CaFeNi structure (PBE).

Lattice parameters (Å, degrees): 9.3003 7.0700 7.0496 82.40 48.90 48.71
Element x y z (fractional)
Ca1 0.0053 0.7545 0.2455
Ca2 0.2455 0.9947 0.0053
Ca3 0.7545 0.0053 0.9947
Ca4 0.9947 0.2455 0.7545
Fe1 0.3273 0.3273 0.6727
Fe2 0.4098 0.5902 0.4098
Fe3 0.5902 0.4098 0.5902
Fe4 0.6727 0.6727 0.3273
Ni1 0.1387 0.4975 0.5025
Ni2 0.4975 0.1387 0.8613
Ni3 0.5025 0.8613 0.1387
Ni4 0.8613 0.5025 0.4975

D(E_F)   11.0 states/eV/cell
Formation enthalpy at 0 K   104 kJ/mol of formula units
V   222 Å³ per cell
Crystal system   orthorhombic


Record 23
Entry from Alexandria: a geometry-optimized TbPr2Si structure (PBE).

Lattice parameters (Å, degrees): 4.7467 4.7467 4.8163 90.00 90.00 90.00
Element x y z (fractional)
Tb1 0.0000 0.0000 0.0000
Pr1 0.0000 0.5000 0.5000
Pr2 0.5000 0.0000 0.5000
Si1 0.5000 0.5000 0.0000

D(E_F)   4.0 states/eV/cell
V   109 Å³ per cell
Crystal system   tetragonal
Formation energy without anion corrections   -238 meV per atom


Record 24
Entry from Alexandria: a geometry-optimized AlZn3 structure (PBE).

Lattice parameters (Å, degrees): 4.8447 4.8447 2.8222 90.00 90.00 109.54
Element x y z (fractional)
Al1 0.0000 0.0000 0.0000
Zn1 0.0000 0.5000 0.5000
Zn2 0.5000 0.0000 0.5000
Zn3 0.5000 0.5000 0.0000

D(E_F)   1.2 states/eV/cell
Formation enthalpy at 0 K   14 kJ/mol of formula units
V   62 Å³ per cell
Crystal system   orthorhombic